# 1
ZrTl3O: relaxed, PBE.

abc: 4.872 4.872 4.872
angles: 90.00 90.00 90.00
Positions (direct):
Tl 0.000 0.500 0.000
Tl 0.500 0.000 0.000
O 0.000 0.000 0.000
Zr 0.500 0.500 0.500
Tl 0.000 0.000 0.500

Total magnetic moment in μB/cell: 0.00
Energy above the lowest structure with this stoichiometry in meV/atom: 0
Space-group type: Pm-3m, No. 221
ΔE_f (raw) in eV/atom: 0.16



# 2
ZrTlO2: relaxed, PBE.

abc: 4.291 4.291 4.291
angles: 60.00 60.00 60.00
Site moments in Bohr magnetons follow the coordinates.
Positions (direct):
Zr 0.000 0.000 0.000  0.67
O 0.750 0.750 0.750  0.01
Tl 0.500 0.500 0.500  0.05
O 0.250 0.250 0.250  0.01

Total magnetic moment in μB/cell: 0.98
Space-group type: Fm-3m, No. 225
ΔE_f (raw) in eV/atom: -0.97



# 3
ZrTl2O: relaxed, PBE.

abc: 7.523 7.523 6.070
angles: 51.70 51.70 90.00
Positions (direct):
Tl 0.875 0.814 0.750
Tl 0.564 0.125 0.250
Zr 0.000 0.000 0.000
O 0.250 0.750 0.500
Tl 0.186 0.625 0.250
Zr 0.750 0.250 0.500
Tl 0.375 0.436 0.750
O 0.500 0.500 0.000

Total magnetic moment in μB/cell: 0.00
Energy above the lowest structure with this stoichiometry in meV/atom: 0
Space-group type: I-42d, No. 122
ΔE_f (raw) in eV/atom: -0.05



# 4
Zr6Tl2O: relaxed, PBE.

abc: 6.420 6.420 9.010
angles: 90.00 90.00 90.00
Positions (direct):
O 0.500 0.500 0.000
Zr 0.500 0.500 0.258
Zr 0.244 0.756 0.000
Tl 0.000 0.500 0.250
Zr 0.500 0.500 0.742
Zr 0.244 0.244 0.000
Zr 0.000 0.000 0.242
Zr 0.256 0.744 0.500
Zr 0.256 0.256 0.500
Tl 0.500 0.000 0.750
Zr 0.000 0.000 0.758
Zr 0.756 0.756 0.000
Zr 0.756 0.244 0.000
Tl 0.000 0.500 0.750
Zr 0.744 0.256 0.500
O 0.000 0.000 0.500
Tl 0.500 0.000 0.250
Zr 0.744 0.744 0.500

Total magnetic moment in μB/cell: 0.00
Space-group type: I4/mmm, No. 139
ΔE_f (raw) in eV/atom: -0.63



# 5
TmO2: relaxed, PBE.

abc: 3.579 4.157 6.098
angles: 71.54 90.00 90.00
Site moments in Bohr magnetons follow the coordinates.
Positions (direct):
O 0.250 0.816 0.557  0.78
O 0.750 0.184 0.443  0.78
Tm 0.250 0.166 0.185  0.00
O 0.750 0.269 0.951  0.06
Tm 0.750 0.834 0.815  0.00
O 0.250 0.731 0.049  0.06

Total magnetic moment in μB/cell: 2.00
Space-group type: P2_1/m, No. 11
ΔE_f (raw) in eV/atom: -2.76



# 6
Tm6UO12: relaxed, PBE.

abc: 6.484 6.484 6.484
angles: 99.15 99.15 99.15
Positions (direct):
Tm 0.854 0.390 0.675
Tm 0.146 0.610 0.325
U 0.000 0.000 0.000
O 0.689 0.916 0.049
O 0.049 0.689 0.916
Tm 0.675 0.854 0.390
O 0.414 0.822 0.575
O 0.425 0.586 0.178
O 0.916 0.049 0.689
O 0.084 0.951 0.311
O 0.822 0.575 0.414
O 0.951 0.311 0.084
O 0.178 0.425 0.586
Tm 0.325 0.146 0.610
Tm 0.610 0.325 0.146
O 0.575 0.414 0.822
O 0.586 0.178 0.425
O 0.311 0.084 0.951
Tm 0.390 0.675 0.854

Total magnetic moment in μB/cell: 0.00
Space-group type: R-3, No. 148
ΔE_f (raw) in eV/atom: -3.61



Q: Which of these has the lowest ΔE_f (raw)?
A: Tm6UO12



Q: Number 4 is which compound?
A: Zr6Tl2O